# Na2TbVO4 PBE+U optimized geometry
data_Na2TbVO4
_symmetry_space_group_name_H-M 'P 1'
_symmetry_Int_Tables_number 1
_symmetry_space_group_name_Hall 'P 1'
_cell_length_a 5.612
_cell_length_b 3.297
_cell_length_c 5.831
_cell_angle_alpha 90.00
_cell_angle_beta 108.89
_cell_angle_gamma 90.00
loop_
_atom_site_label
_atom_site_type_symbol
_atom_site_fract_x
_atom_site_fract_y
_atom_site_fract_z
_atom_site_occupancy
Na1 Na 0.000 0.000 0.000 1
Na2 Na 0.500 0.500 0.000 1
Tb1 Tb 0.000 0.500 0.500 1
V1 V 0.500 0.000 0.500 1
O1 O 0.259 0.000 0.708 1
O2 O 0.283 0.500 0.294 1
O3 O 0.717 0.500 0.706 1
O4 O 0.741 0.000 0.292 1
# Crystal system: monoclinic
# Symmetry: P2/m, No. 10
# VASP energy in eV per atom: -6.635